A relaxed structure of Fe2SnPd, computed with PBE.

## Properties
**Total moment**: 4.9 μB/f.u.
**Energy**: -6.52 eV/atom
**Energy relative to the elements**: 1 kJ/mol of atoms
**SG**: Pmmn (59)

The structure in POSCAR format:
```
Fe2SnPd
1.0
2.9517 0.0000 0.0000
0.0000 4.1876 0.0000
0.0000 0.0000 9.8801
Fe Sn Pd
4 2 2
direct
0.2500 0.2500 0.0343
0.2500 0.7500 0.1579
0.7500 0.2500 0.8421
0.7500 0.7500 0.9657
0.2500 0.7500 0.7118
0.7500 0.2500 0.2882
0.2500 0.7500 0.4266
0.7500 0.2500 0.5734
```